A:
This record from Alexandria describes an optimized crystal structure of Ir2PbCl. The functional is PBE.

Computed properties:
As for the space group: C2/m.

Unit cell a=5.7285 b=9.7775 c=3.0572 alpha=90.00 beta=121.19 gamma=90.00
With the nearest neighbours (Å) after each atom.
Element x y z (fractional)
Ir1 0.2500 0.2500 0.0000  2 Cl 2.85, 2 Pb 2.85, 6 Ir 2.86-3.06
Ir2 0.2500 0.7500 0.0000  2 Cl 2.85, 2 Pb 2.85, 6 Ir 2.86-3.06
Ir3 0.7500 0.2500 0.0000  2 Cl 2.85, 2 Pb 2.85, 6 Ir 2.86-3.06
Ir4 0.7500 0.7500 0.0000  2 Cl 2.85, 2 Pb 2.85, 6 Ir 2.86-3.06
Pb1 0.0000 0.0000 0.5000  4 Ir 2.85, 4 Cl 2.86-2.91, 2 Pb 3.06
Pb2 0.5000 0.5000 0.5000  4 Ir 2.85, 4 Cl 2.86-2.91, 2 Pb 3.06
Cl1 0.0000 0.5000 0.5000  4 Ir 2.85, 4 Pb 2.86-2.91, 2 Cl 3.06
Cl2 0.5000 0.0000 0.5000  4 Ir 2.85, 4 Pb 2.86-2.91, 2 Cl 3.06



B:
This record from Alexandria describes an optimized crystal structure of Ir2PbCl. The functional is PBE.

Computed properties:
As for the space group: Cmmm.

Unit cell a=6.1864 b=7.4817 c=3.1177 alpha=90.00 beta=90.00 gamma=90.00
With the nearest neighbours (Å) after each atom.
Element x y z (fractional)
Ir1 0.2500 0.2500 0.0000  4 Cl 2.88, 4 Pb 2.88, 4 Ir 3.09-3.12
Ir2 0.2500 0.7500 0.0000  4 Cl 2.88, 4 Pb 2.88, 4 Ir 3.09-3.12
Ir3 0.7500 0.2500 0.0000  4 Pb 2.88, 4 Cl 2.88, 4 Ir 3.09-3.12
Ir4 0.7500 0.7500 0.0000  4 Pb 2.88, 4 Cl 2.88, 4 Ir 3.09-3.12
Pb1 0.0000 0.0000 0.5000  8 Ir 2.88, 2 Cl 3.09, 2 Pb 3.12
Pb2 0.5000 0.5000 0.5000  8 Ir 2.88, 2 Cl 3.09, 2 Pb 3.12
Cl1 0.0000 0.5000 0.5000  8 Ir 2.88, 2 Pb 3.09, 2 Cl 3.12
Cl2 0.5000 0.0000 0.5000  8 Ir 2.88, 2 Pb 3.09, 2 Cl 3.12



Quick look at relative energies in meV per atom: A 0; B 268.



A:
This record from Alexandria describes an optimized crystal structure of AsRh2Se. The functional is PBE.

Computed properties:
As for the space group: Immm.

Unit cell a=2.9412 b=5.3286 c=8.4012 alpha=90.00 beta=90.00 gamma=90.00
With the nearest neighbours (Å) after each atom.
Element x y z (fractional)
As1 0.0000 0.0000 0.0000  4 Rh 2.49
As2 0.5000 0.5000 0.5000  4 Rh 2.49
Rh1 0.0000 0.5000 0.2607  2 As 2.49, 2 Se 2.64
Rh2 0.0000 0.5000 0.7393  2 As 2.49, 2 Se 2.64
Rh3 0.5000 0.0000 0.2393  2 As 2.49, 2 Se 2.64
Rh4 0.5000 0.0000 0.7607  2 As 2.49, 2 Se 2.64
Se1 0.0000 0.0000 0.5000  4 Rh 2.64, 2 Se 2.94
Se2 0.5000 0.5000 0.0000  4 Rh 2.64, 2 Se 2.94



B:
This record from Alexandria describes an optimized crystal structure of AsRh2Se. The functional is PBE.

Computed properties:
As for the space group: Cm.

Unit cell a=9.0129 b=3.2359 c=4.4739 alpha=90.00 beta=101.97 gamma=90.00
With the nearest neighbours (Å) after each atom.
Element x y z (fractional)
As1 0.0000 0.0000 0.0000  5 Rh 2.56-2.64
As2 0.5000 0.5000 0.0000  5 Rh 2.56-2.64
Rh1 0.2677 0.0000 0.8884  3 As 2.56-2.61, 2 Se 2.63, 1 Rh 2.86
Rh2 0.4975 0.0000 0.5336  3 Se 2.53-2.64, 2 As 2.64
Rh3 0.7677 0.5000 0.8884  3 As 2.56-2.61, 2 Se 2.63, 1 Rh 2.86
Rh4 0.9975 0.5000 0.5336  3 Se 2.53-2.64, 2 As 2.64
Se1 0.2615 0.5000 0.4217  5 Rh 2.53-2.64
Se2 0.7615 0.0000 0.4217  5 Rh 2.53-2.64



Quick look at relative energies in meV per atom: A 333; B 0.



A:
This record from Alexandria describes an optimized crystal structure of Mg2Si3. The functional is PBE.

Computed properties:
As for the space group: Cm.

Unit cell a=6.2705 b=6.2705 c=17.3124 alpha=100.55 beta=100.55 gamma=35.90
With the nearest neighbours (Å) after each atom.
Element x y z (fractional)
Mg1 0.0000 0.0000 0.0000  7 Si 2.71-2.89
Mg2 0.0048 0.0048 0.8207  6 Si 2.69-2.96
Mg3 0.1130 0.1130 0.4998  8 Si 2.77-3.01
Mg4 0.2584 0.2584 0.1741  4 Si 2.73-2.85, 1 Mg 2.98
Mg5 0.2720 0.2720 0.0038  7 Si 2.77-2.84, 1 Mg 2.98
Mg6 0.3539 0.3539 0.6622  5 Si 2.61-2.85
Mg7 0.8249 0.8249 0.5061  5 Si 2.74-3.06
Mg8 0.8426 0.8426 0.3219  6 Si 2.74-3.03
Si1 0.1406 0.1406 0.7133  3 Si 2.41-2.45, 1 Mg 2.69
Si2 0.1429 0.1429 0.2959  3 Si 2.41-2.43
Si3 0.3148 0.3148 0.8104  3 Si 2.40-2.41
Si4 0.4561 0.4561 0.4188  2 Si 2.36-2.42
Si5 0.4685 0.4685 0.1184  3 Si 2.42-2.44
Si6 0.4846 0.4846 0.5574  2 Si 2.36-2.40, 1 Mg 2.61
Si7 0.6159 0.6159 0.9264  2 Si 2.43-2.49
Si8 0.6406 0.6406 0.3808  3 Si 2.42-2.43
Si9 0.6501 0.6501 0.0729  2 Si 2.44-2.49
Si10 0.6753 0.6753 0.6343  3 Si 2.40-2.45
Si11 0.8033 0.8033 0.8910  3 Si 2.40-2.43
Si12 0.9655 0.9655 0.2023  3 Si 2.41-2.42



B:
This record from Alexandria describes an optimized crystal structure of Mg2Si3. The functional is PBE.

Computed properties:
As for the space group: Cm.

Unit cell a=6.1011 b=6.1011 c=18.1073 alpha=103.19 beta=103.19 gamma=34.05
With the nearest neighbours (Å) after each atom.
Element x y z (fractional)
Mg1 0.0000 0.0000 0.0000  8 Si 2.70-2.99
Mg2 0.0480 0.0480 0.6589  4 Si 2.72
Mg3 0.5061 0.5061 0.3986  4 Si 2.61-2.83
Mg4 0.5961 0.5961 0.2561  4 Si 2.72-2.87, 1 Mg 3.01
Mg5 0.6590 0.6590 0.9105  8 Si 2.72-2.99
Mg6 0.7450 0.7450 0.7572  6 Si 2.77-2.98
Mg7 0.8633 0.8633 0.5018  7 Si 2.79-2.99
Mg8 0.9149 0.9149 0.1469  6 Si 2.76-2.88, 1 Mg 3.05
Si1 0.1621 0.1621 0.1522  3 Si 2.45-2.49
Si2 0.1795 0.1795 0.5255  4 Si 2.39-2.51
Si3 0.2017 0.2017 0.3913  3 Si 2.50-2.53
Si4 0.3169 0.3169 0.6557  2 Si 2.51
Si5 0.3178 0.3178 0.0227  3 Si 2.49-2.59
Si6 0.3395 0.3395 0.8892  3 Si 2.49-2.59
Si7 0.3488 0.3488 0.2532  3 Si 2.49-2.50
Si8 0.5007 0.5007 0.7610  3 Si 2.45-2.51, 2 Mg 2.72
Si9 0.5557 0.5557 0.5471  2 Si 2.39, 1 Mg 2.61
Si10 0.6840 0.6840 0.0637  4 Si 2.45-2.59, 1 Mg 2.72
Si11 0.8203 0.8203 0.3437  4 Si 2.50-2.53, 2 Mg 2.72-2.79
Si12 0.9728 0.9728 0.8480  4 Si 2.45-2.59, 1 Mg 2.70



Quick look at relative energies in meV per atom: A 0; B 51.